Entry 1:
LuPaAlAg (PBE, optimized geometry); SG = F-43m (216); energy = -5.14 eV/atom; M_tot = 0.07 μB per atom; V = 93 Å³/cell; energy relative to the elements = 0.011 eV/atom
1.0
0.000 3.591 3.591
3.591 0.000 3.591
3.591 3.591 0.000
Lu Pa Al Ag
1 1 1 1
Direct
0.000 0.000 0.000
0.500 0.500 0.500
0.750 0.750 0.750
0.250 0.250 0.250

---

Entry 2:
UCuSe2 (PBE, optimized geometry); SG = R-3m (166); energy = -6.16 eV/atom; M_tot = 0.75 μB per atom; V = 116 Å³/cell
1.0
2.078 1.200 7.770
-2.078 1.200 7.770
0.000 -2.400 7.770
U Cu Se
1 1 2
Direct
0.000 0.000 0.000
0.500 0.500 0.500
0.403 0.403 0.403
0.597 0.597 0.597

---

Entry 3:
Ca2ZnAgN (PBE, optimized geometry); SG = P4/mmm (123); energy = -3.66 eV/atom; excess energy over the best structure of this formula in the dataset = 0.111 eV/atom; M_tot = 0.00 μB per atom; V = 100 Å³/cell
1.0
4.979 0.000 0.000
0.000 4.979 0.000
0.000 0.000 4.029
Ca Zn Ag N
2 1 1 1
Direct
0.000 0.500 0.000
0.500 0.000 0.000
0.000 0.000 0.500
0.500 0.500 0.500
0.000 0.000 0.000

---

Entry 4:
LiSn (PBE, optimized geometry); SG = P4/mmm (123); energy = -3.30 eV/atom; M_tot = 0.00 μB per atom; V = 42 Å³/cell; energy relative to the elements = -0.340 eV/atom
1.0
3.063 0.000 0.000
0.000 3.063 0.000
0.000 0.000 4.465
Li Sn
1 1
Direct
0.000 0.000 0.000
0.500 0.500 0.500

---

Entry 5:
Sc12AlIn3 (PBE, optimized geometry); SG = P4/mmm (123); energy = -5.77 eV/atom; M_tot = 0.35 μB per atom; V = 364 Å³/cell; energy relative to the elements = -0.278 eV/atom
1.0
4.498 0.000 0.000
0.000 4.498 0.000
0.000 0.000 17.972
Sc Al In
12 1 3
Direct
0.000 0.000 0.000
0.000 0.000 0.248
0.000 0.000 0.500
0.000 0.000 0.752
0.000 0.500 0.120
0.000 0.500 0.374
0.000 0.500 0.626
0.000 0.500 0.880
0.500 0.000 0.120
0.500 0.000 0.374
0.500 0.000 0.626
0.500 0.000 0.880
0.500 0.500 0.000
0.500 0.500 0.248
0.500 0.500 0.500
0.500 0.500 0.752

---

Entry 6:
Ba3SnMo (PBE, optimized geometry); SG = Pm-3m (221); energy = -3.56 eV/atom; excess energy over the best structure of this formula in the dataset = 0.000 eV/atom; M_tot = 0.00 μB per atom; V = 202 Å³/cell; energy relative to the elements = 0.558 eV/atom
1.0
5.866 0.000 0.000
0.000 5.866 0.000
0.000 0.000 5.866
Ba Sn Mo
3 1 1
Direct
0.000 0.000 0.500
0.000 0.500 0.000
0.500 0.000 0.000
0.500 0.500 0.500
0.000 0.000 0.000